# Al2VGaO PBE+U optimized geometry
data_Al2VGaO
_space_group_name_H-M_alt 'P 4/m m m'
_space_group_IT_number 123
_space_group_name_Hall '-P 4 2'
_cell_length_a 5.196
_cell_length_b 5.196
_cell_length_c 3.615
_cell_angle_alpha 90.00
_cell_angle_beta 90.00
_cell_angle_gamma 90.00
loop_
_atom_site_label
_atom_site_fract_x
_atom_site_fract_y
_atom_site_fract_z
Al1 0.000 0.500 0.000
V1 0.000 0.000 0.000
Ga1 0.500 0.500 0.500
O1 0.000 0.000 0.500
# - density of states at the Fermi level (states/eV/f.u.) = 2.05
# - ρ (g/cm3) = 3.2
# - total energy (eV per cell) = -22.45